8
Lattice="-2.9049 -1.0238 5.6645 -2.1755 -5.6791 -2.1421 3.5146 -6.6193 4.2757" Properties=species:S:1:pos:R:3 comment="LaVTe2 PBE optimized geometry" rho_g_cm3=4.85 e_form_raw_ev_per_atom=-0.48 dos_at_fermi_per_ev_fu=3.65 pbc="T T T"
La 0.0000 0.0000 0.0000
Te -1.6920 -10.5230 6.4045
Te -1.0009 -5.3875 0.7439
Te 0.6134 -7.7846 4.4120
V -2.5402 -3.3514 1.7612
Te -1.0521 -2.9493 4.0357
La -0.9652 -5.4973 5.8507
V -0.6005 -7.8249 1.9474